A crystal of KAgPb2 relaxed with PBEsol. Source: Alexandria via LeMat-Bulk, functional meta-GGA SCAN.

Lattice parameters (Å, degrees): 3.192 6.350 6.406 117.47 100.41 97.93
Fractional positions:
Pb1 0.000 0.000 0.500
K1 0.500 0.000 0.000
Ag1 0.000 0.500 0.000
Pb2 0.500 0.500 0.500

## Properties
total magnetization: 0.000 μB per atom
crystal system: monoclinic
calculated formation energy: 0.104 eV per atom